[1]
Computed, not measured: a relaxed structure of CaSm3 at the PBE level of DFT.

Geometry as extended XYZ:
```
4
Lattice="-0.1978 2.6699 2.5267 -4.2153 -2.9998 2.8398 4.5185 -3.0069 3.5309" Properties=species:S:1:pos:R:3 pbc="T T T"
Ca -0.6231 -2.4878 2.5800
Sm 4.4925 -2.9896 3.5106
Sm 2.2178 -0.2067 3.0737
Sm 1.5490 -2.6641 5.6180
```

Summary:
Its calculated formation energy is 0.0771 eV per atom. Its space group is Pmm2 (25).



[2]
Computed, not measured: a relaxed structure of SbBrNO2 at the PBE level of DFT.

Geometry as extended XYZ:
```
5
Lattice="3.8643 0.0000 0.0000 0.0000 3.8643 0.0000 0.0000 0.0000 4.6193" Properties=species:S:1:pos:R:3 pbc="T T T"
Sb 0.0000 0.0000 0.0000
O 0.0000 1.9321 0.0000
O 1.9321 0.0000 0.0000
Br 1.9321 1.9321 2.3096
N 0.0000 0.0000 2.3096
```

Summary:
Its formation energy without anion corrections is 0.35 eV per atom. Its space group is P4/mmm (123).